Entry 1
4
Lattice="3.516 0.000 0.001 -0.047 6.943 0.006 -0.050 -3.227 6.162" Properties=species:S:1:pos:R:3 comment="WSeI2 (PBE, relaxed)" vol_a3_per_atom=37.63 sg=P1 pbc="T T T"
W 1.193 0.979 4.583
I 1.244 2.786 0.584
I 2.951 3.061 4.674
Se 2.952 0.010 3.127


Entry 2
8
Lattice="3.395 0.000 -0.002 0.000 11.156 0.000 -3.361 0.000 7.476" Properties=species:S:1:pos:R:3 comment="WSeI2 (PBE, relaxed)" vol_a3_per_atom=35.38 sg=Cm pbc="T T T"
W 2.073 5.578 0.178
W 0.392 0.000 3.916
Se 0.377 5.578 2.033
Se -1.304 0.000 5.771
I 0.409 7.451 6.511
I 2.089 9.283 2.773
I 2.089 1.873 2.773
I 0.409 3.705 6.511


Most stable structure - entry 1; separation to the second - 49 meV per atom.


Entry 1
5
Lattice="4.898 0.000 0.000 0.000 4.898 0.000 0.000 0.000 4.898" Properties=species:S:1:pos:R:3 comment="W3SeI (PBE, relaxed)" vol_a3_per_atom=23.50 sg=Pm-3m pbc="T T T"
W 0.000 0.000 2.449
W 2.449 0.000 0.000
W 0.000 2.449 0.000
I 0.000 0.000 0.000
Se 2.449 2.449 2.449


Entry 2
5
Lattice="-3.763 2.455 1.389 -2.638 -3.883 -0.282 0.999 -1.005 4.484" Properties=species:S:1:pos:R:3 comment="W3SeI (PBE, relaxed)" vol_a3_per_atom=20.80 sg=Pm-3m pbc="T T T"
W -1.319 -1.942 -0.141
W 0.500 -0.502 2.242
W -1.881 1.227 0.694
I -2.701 -1.217 2.795
Se 0.000 0.000 0.000


Most stable structure - entry 2; separation to the second - 942 meV per atom.


Entry 1
4
Lattice="2.877 -3.163 -1.732 2.789 -2.367 2.811 -0.766 -4.484 0.771" Properties=species:S:1:pos:R:3 comment="W2SeI (PBE, relaxed)" vol_a3_per_atom=17.36 sg=Fm-3m pbc="T T T"
Se 0.000 0.000 0.000
W 1.225 -2.503 0.463
W 3.675 -7.510 1.388
I 2.450 -5.007 0.925


Entry 2
8
Lattice="-2.126 -0.332 -3.992 3.833 -1.483 -1.918 -1.287 -8.756 -1.162" Properties=species:S:1:pos:R:3 comment="W2SeI (PBE, relaxed)" vol_a3_per_atom=21.41 sg=I-42d pbc="T T T"
I 0.000 0.000 0.000
I -1.280 -4.998 -4.055
W 1.655 -3.181 -2.275
W 0.252 -8.048 -5.905
W -1.019 -2.558 -2.738
W -0.050 -7.354 -3.226
Se 1.699 -5.573 -3.017
Se 0.853 -0.908 -2.955


Most stable structure - entry 2; separation to the second - 155 meV per atom.


Entry 1
8
Lattice="-7.059 -4.238 4.027 5.846 -5.185 4.791 -0.587 -2.756 6.502" Properties=species:S:1:pos:R:3 comment="YSe2I (PBE, relaxed)" vol_a3_per_atom=30.08 sg=I-42d pbc="T T T"
I -4.126 -5.853 7.469
I 0.000 0.000 0.000
Y 2.327 -6.326 7.851
Y -0.606 -4.712 4.409
Se -3.470 -3.771 4.537
Se 2.267 -4.674 5.327
Se -1.797 -10.050 12.349
Se -0.599 -5.863 8.426


Entry 2
4
Lattice="2.505 0.000 8.433 -1.252 2.169 8.433 -1.252 -2.169 8.433" Properties=species:S:1:pos:R:3 comment="YSe2I (PBE, relaxed)" vol_a3_per_atom=34.36 sg=R-3m pbc="T T T"
Se 0.000 0.000 2.768
Se 0.000 0.000 22.530
Y 0.000 0.000 12.649
I 0.000 0.000 0.000


Entry 3
4
Lattice="0.866 -8.812 4.692 3.569 -9.160 1.942 4.395 -7.319 5.247" Properties=species:S:1:pos:R:3 comment="YSe2I (PBE, relaxed)" vol_a3_per_atom=31.70 sg=R-3m pbc="T T T"
Se 0.804 -2.302 1.081
Se 8.026 -22.990 10.800
Y 0.000 0.000 0.000
I 4.415 -12.646 5.941


Entry 4
4
Lattice="-5.000 0.923 1.228 -3.284 1.852 -3.625 -3.775 -3.069 -1.922" Properties=species:S:1:pos:R:3 comment="YSe2I (PBE, relaxed)" vol_a3_per_atom=25.29 sg=Fm-3m pbc="T T T"
Y 0.000 0.000 0.000
Se -9.044 -0.220 -3.239
Se -3.015 -0.073 -1.080
I -6.029 -0.146 -2.160


Most stable structure - entry 2; separation to the second - 290 meV per atom.


Entry 1
4
Lattice="-3.789 1.301 0.171 -1.990 -0.075 3.480 0.675 7.766 2.864" Properties=species:S:1:pos:R:3 comment="Y2SeI (PBE, relaxed)" vol_a3_per_atom=27.76 sg=R-3m pbc="T T T"
Se 0.000 0.000 0.000
I -2.552 4.496 3.258
Y -3.689 7.137 4.975
Y -1.415 1.855 1.541


Entry 2
8
Lattice="-4.517 -4.413 2.158 4.006 -5.005 -1.851 2.577 -4.667 6.169" Properties=species:S:1:pos:R:3 comment="Y2SeI (PBE, relaxed)" vol_a3_per_atom=37.01 sg=I-42d pbc="T T T"
Y 1.908 -7.241 4.664
Y -1.490 -4.367 2.569
Y 2.395 -5.031 0.745
Y 1.319 -11.533 4.972
I -1.097 -6.895 4.240
I 0.000 0.000 0.000
Se 3.164 -7.191 2.235
Se -0.255 -4.709 0.153


Most stable structure - entry 1; separation to the second - 417 meV per atom.


Entry 1
4
Lattice="2.743 2.895 3.331 -1.212 -0.002 5.053 3.165 -2.283 3.430" Properties=species:S:1:pos:R:3 comment="Y2SeI (PBE, relaxed)" vol_a3_per_atom=24.80 sg=Fm-3m pbc="T T T"
I 2.348 0.305 5.907
Y 1.174 0.153 2.953
Y 3.522 0.458 8.860
Se 0.000 0.000 0.000


Entry 2
4
Lattice="-2.749 -0.795 -2.723 -0.004 -3.495 -1.841 -5.697 -4.429 4.179" Properties=species:S:1:pos:R:3 comment="Y2SeI (PBE, relaxed)" vol_a3_per_atom=27.10 sg=R3m pbc="T T T"
Y -1.920 -2.059 -0.325
Y -4.682 -3.792 2.969
I -4.236 -4.367 -0.179
Se -1.836 -2.860 -3.042


Most stable structure - entry 2; separation to the second - 191 meV per atom.


Entry 1
8
Lattice="11.113 0.000 0.000 0.000 11.113 0.000 5.556 5.556 2.766" Properties=species:S:1:pos:R:3 comment="YSeI2 (PBE, relaxed)" vol_a3_per_atom=42.69 sg=I-42d pbc="T T T"
Se 5.556 11.113 1.383
Se 5.556 5.556 0.000
I 8.335 6.678 2.074
I 9.991 2.778 0.691
I 12.235 8.335 0.691
I 13.891 4.435 2.074
Y 11.113 5.556 1.383
Y 0.000 0.000 0.000


Entry 2
4
Lattice="0.000 3.849 3.849 3.849 0.000 3.849 3.849 3.849 0.000" Properties=species:S:1:pos:R:3 comment="YSeI2 (PBE, relaxed)" vol_a3_per_atom=28.52 sg=Fm-3m pbc="T T T"
Y 3.849 3.849 3.849
I 1.925 1.925 1.925
I 5.774 5.774 5.774
Se 0.000 0.000 0.000


Most stable structure - entry 1; separation to the second - 435 meV per atom.


Entry 1
5
Lattice="4.257 0.000 0.000 0.000 5.641 0.000 -2.128 -2.821 6.554" Properties=species:S:1:pos:R:3 comment="Y2Se2I (PBE, relaxed)" vol_a3_per_atom=31.47 sg=Immm pbc="T T T"
Y 2.128 0.000 2.458
Y 0.000 2.821 4.096
Se 0.000 0.000 4.314
Se 2.128 2.821 2.239
I 0.000 0.000 0.000


Entry 2
10
Lattice="8.225 0.000 0.000 0.000 8.225 0.000 0.000 0.000 3.777" Properties=species:S:1:pos:R:3 comment="Y2Se2I (PBE, relaxed)" vol_a3_per_atom=25.55 sg=P4/mbm pbc="T T T"
I 0.000 0.000 0.000
I 4.112 4.112 0.000
Se 2.975 1.137 1.888
Se 5.250 7.088 1.888
Se 7.088 2.975 1.888
Se 1.137 5.250 1.888
Y 7.000 5.338 0.000
Y 1.225 2.887 0.000
Y 5.338 1.225 0.000
Y 2.887 7.000 0.000


Most stable structure - entry 1; separation to the second - 67 meV per atom.


Entry 1
5
Lattice="6.018 0.000 0.000 0.000 6.018 0.000 0.000 0.000 6.018" Properties=species:S:1:pos:R:3 comment="YSeI3 (PBE, relaxed)" vol_a3_per_atom=43.59 sg=Pm-3m pbc="T T T"
Se 3.009 3.009 3.009
Y 0.000 0.000 0.000
I 0.000 3.009 0.000
I 3.009 0.000 0.000
I 0.000 0.000 3.009


Entry 2
5
Lattice="5.750 0.000 0.000 0.000 5.750 0.000 0.000 0.000 5.750" Properties=species:S:1:pos:R:3 comment="YSeI3 (PBE, relaxed)" vol_a3_per_atom=38.02 sg=Pm-3m pbc="T T T"
I 0.000 2.875 0.000
I 0.000 0.000 2.875
I 2.875 0.000 0.000
Y 2.875 2.875 2.875
Se 0.000 0.000 0.000


Most stable structure - entry 1; separation to the second - 671 meV per atom.


Entry 1
4
Lattice="0.000 3.588 3.588 3.588 0.000 3.588 3.588 3.588 0.000" Properties=species:S:1:pos:R:3 comment="ZnSe2I (PBE, relaxed)" vol_a3_per_atom=23.10 sg=Fm-3m pbc="T T T"
Se 1.794 1.794 1.794
Se 5.382 5.382 5.382
I 3.588 3.588 3.588
Zn 0.000 0.000 0.000


Entry 2
4
Lattice="2.279 0.000 8.174 -1.140 1.974 8.174 -1.140 -1.974 8.174" Properties=species:S:1:pos:R:3 comment="ZnSe2I (PBE, relaxed)" vol_a3_per_atom=27.58 sg=R-3m pbc="T T T"
I 0.000 0.000 0.000
Se 0.000 0.000 2.744
Se 0.000 0.000 21.778
Zn 0.000 0.000 12.261


Entry 3
4
Lattice="2.331 0.000 8.950 -1.165 2.018 8.950 -1.165 -2.018 8.950" Properties=species:S:1:pos:R:3 comment="ZnSe2I (PBE, relaxed)" vol_a3_per_atom=31.57 sg=R-3m pbc="T T T"
I 0.000 0.000 13.424
Zn 0.000 0.000 0.000
Se 0.000 0.000 24.545
Se 0.000 0.000 2.304


Most stable structure - entry 2; separation to the second - 519 meV per atom.


Entry 1
5
Lattice="4.980 0.000 0.000 0.000 4.980 0.000 2.490 2.490 5.974" Properties=species:S:1:pos:R:3 comment="Zn2SeI2 (PBE, relaxed)" vol_a3_per_atom=29.64 sg=I4/mmm pbc="T T T"
Zn 2.490 4.980 2.987
Zn 4.980 2.490 2.987
I 4.980 4.980 4.188
I 2.490 2.490 1.786
Se 0.000 0.000 0.000


Entry 2
10
Lattice="8.784 0.000 0.000 0.000 8.784 0.000 0.000 0.000 4.196" Properties=species:S:1:pos:R:3 comment="Zn2SeI2 (PBE, relaxed)" vol_a3_per_atom=32.38 sg=P4/mbm pbc="T T T"
Se 0.000 0.000 0.000
Se 4.392 4.392 0.000
I 6.713 2.321 0.000
I 2.071 6.463 0.000
I 2.321 2.071 0.000
I 6.463 6.713 0.000
Zn 0.844 5.236 2.098
Zn 3.548 0.844 2.098
Zn 7.940 3.548 2.098
Zn 5.236 7.940 2.098


Most stable structure - entry 2; separation to the second - 135 meV per atom.


Entry 1
5
Lattice="5.263 0.000 0.000 0.000 5.263 0.000 0.000 0.000 5.263" Properties=species:S:1:pos:R:3 comment="ZrSe3I (PBE, relaxed)" vol_a3_per_atom=29.16 sg=Pm-3m pbc="T T T"
Zr 0.000 0.000 0.000
Se 2.632 0.000 0.000
Se 0.000 2.632 0.000
Se 0.000 0.000 2.632
I 2.632 2.632 2.632


Entry 2
5
Lattice="5.318 0.000 0.000 0.000 5.318 0.000 0.000 0.000 5.318" Properties=species:S:1:pos:R:3 comment="ZrSe3I (PBE, relaxed)" vol_a3_per_atom=30.08 sg=Pm-3m pbc="T T T"
Se 0.000 2.659 0.000
Se 2.659 0.000 0.000
Se 0.000 0.000 2.659
I 0.000 0.000 0.000
Zr 2.659 2.659 2.659


Most stable structure - entry 1; separation to the second - 1097 meV per atom.